Compound: BeRhCl2
Source: the Alexandria database
Functional: GGA-PBE
Structure: optimized geometry

## Properties
Energy above the lowest structure with this stoichiometry: 0.266 eV/atom
VASP energy: -3.81 eV/atom

Cell: 10.514 10.514 10.514 Å, 16.57 16.57 16.57°
Element x y z (fractional)
Be: 0.750 0.750 0.750
Rh: 0.250 0.250 0.250
Cl: 0.042 0.042 0.042
Cl: 0.458 0.458 0.458



Compound: KHg3Pd
Source: the Alexandria database
Functional: GGA-PBE
Structure: optimized geometry

## Properties
Energy above the lowest structure with this stoichiometry: 0.315 eV/atom
VASP energy: -1.37 eV/atom

Cell: 12.877 12.877 5.248 Å, 90.00 90.00 143.04°
Element x y z (fractional)
K: 0.139 0.861 0.250
K: 0.861 0.139 0.750
Hg: 0.568 0.090 0.250
Hg: 0.910 0.432 0.250
Hg: 0.090 0.568 0.750
Hg: 0.432 0.910 0.750
Hg: 0.000 0.000 0.000
Hg: 0.000 0.000 0.500
Pd: 0.265 0.735 0.250
Pd: 0.735 0.265 0.750



Compound: Tb2SnPd4
Source: the Alexandria database
Functional: GGA-PBE
Structure: optimized geometry

## Properties
Energy above the lowest structure with this stoichiometry: 0.000 eV/atom
VASP energy: -5.67 eV/atom

Cell: 4.599 4.599 9.491 Å, 60.75 60.75 59.83°
Element x y z (fractional)
Tb: 0.857 0.857 0.715
Tb: 0.143 0.143 0.285
Sn: 0.000 0.000 0.000
Pd: 0.650 0.650 0.525
Pd: 0.350 0.350 0.475
Pd: 0.602 0.602 0.097
Pd: 0.398 0.398 0.903



Compound: ZrNbTeN2
Source: the Alexandria database
Functional: GGA-PBE
Structure: optimized geometry

## Properties
Energy above the lowest structure with this stoichiometry: 0.479 eV/atom
VASP energy: -6.96 eV/atom

Cell: 4.153 4.153 5.744 Å, 90.00 90.00 90.00°
Element x y z (fractional)
Nb: 0.500 0.500 0.500
Te: 0.000 0.000 0.500
Zr: 0.000 0.000 0.000
N: 0.000 0.500 0.000
N: 0.500 0.000 0.000



Compound: Ba4HO3
Source: the Alexandria database
Functional: GGA-PBE
Structure: optimized geometry

## Properties
VASP energy: -5.10 eV/atom

Cell: 5.612 5.612 5.612 Å, 90.00 90.00 90.00°
Element x y z (fractional)
Ba: 0.500 0.000 0.000
Ba: 0.000 0.500 0.000
Ba: 0.000 0.000 0.500
Ba: 0.500 0.500 0.500
H: 0.000 0.000 0.000
O: 0.000 0.500 0.500
O: 0.500 0.000 0.500
O: 0.500 0.500 0.000



Compound: DyEr3S
Source: the Alexandria database
Functional: GGA-PBE
Structure: optimized geometry

## Properties
VASP energy: -5.11 eV/atom

Cell: 5.248 5.248 5.248 Å, 90.00 90.00 90.00°
Element x y z (fractional)
S: 0.000 0.000 0.000
Dy: 0.500 0.500 0.500
Er: 0.000 0.500 0.000
Er: 0.000 0.000 0.500
Er: 0.500 0.000 0.000



Compound: BeIr4Au
Source: the Alexandria database
Functional: GGA-PBE
Structure: optimized geometry

## Properties
VASP energy: -6.41 eV/atom

Cell: 5.164 5.164 5.164 Å, 60.00 60.00 60.00°
Element x y z (fractional)
Be: 0.000 0.000 0.000
Ir: 0.876 0.375 0.375
Ir: 0.375 0.375 0.876
Ir: 0.375 0.876 0.375
Ir: 0.375 0.375 0.375
Au: 0.750 0.750 0.750



Compound: K2Na3Ag2
Source: the Alexandria database
Functional: GGA-PBE
Structure: optimized geometry

## Properties
VASP energy: -1.69 eV/atom

Cell: 5.211 6.851 8.598 Å, 116.41 90.00 112.35°
Element x y z (fractional)
K: 0.850 0.701 0.213
K: 0.150 0.299 0.787
Na: 0.500 0.000 0.000
Na: 0.647 0.294 0.445
Na: 0.353 0.706 0.555
Ag: 0.886 0.772 0.820
Ag: 0.114 0.228 0.180



Compound: SiIrClO2
Source: the Alexandria database
Functional: GGA-PBE
Structure: optimized geometry

## Properties
VASP energy: -5.67 eV/atom

Cell: 3.347 7.800 3.347 Å, 90.00 90.00 90.00°
Element x y z (fractional)
Si: 0.000 0.000 0.000
Ir: 0.500 0.500 0.500
O: 0.000 0.000 0.500
O: 0.500 0.000 0.000
Cl: 0.000 0.500 0.000



Compound: BeAs2BrF
Source: the Alexandria database
Functional: GGA-PBE
Structure: optimized geometry

## Properties
Energy above the lowest structure with this stoichiometry: 0.000 eV/atom
VASP energy: -3.17 eV/atom

Cell: 4.467 4.467 4.678 Å, 90.00 90.00 90.00°
Element x y z (fractional)
Be: 0.000 0.000 0.000
As: 0.000 0.500 0.000
As: 0.500 0.000 0.000
Br: 0.000 0.000 0.500
F: 0.500 0.500 0.500



Compound: PmSnAs
Source: the Alexandria database
Functional: GGA-PBE
Structure: optimized geometry

## Properties
Energy above the lowest structure with this stoichiometry: 0.000 eV/atom
VASP energy: -5.11 eV/atom

Cell: 4.056 4.056 6.085 Å, 109.47 109.47 90.00°
Element x y z (fractional)
As: 0.271 0.271 0.542
Sn: 0.018 0.018 0.036
Pm: 0.711 0.711 0.422



Compound: Th5Zn2Os2
Source: the Alexandria database
Functional: GGA-PBE
Structure: optimized geometry

## Properties
VASP energy: -7.12 eV/atom

Cell: 6.399 7.286 10.908 Å, 109.51 107.06 90.00°
Element x y z (fractional)
Th: 0.261 0.640 0.840
Th: 0.739 0.800 0.160
Th: 0.079 0.140 0.840
Th: 0.921 0.300 0.160
Th: 0.306 0.012 0.316
Th: 0.694 0.696 0.684
Th: 0.511 0.512 0.316
Th: 0.489 0.196 0.684
Th: 0.085 0.744 0.500
Th: 0.915 0.244 0.500
Zn: 0.183 0.607 0.091
Zn: 0.817 0.515 0.909
Zn: 0.408 0.107 0.091
Zn: 0.592 0.015 0.909
Os: 0.000 0.909 0.000
Os: 0.500 0.409 0.000
Os: 0.318 0.412 0.500
Os: 0.682 0.912 0.500



Compound: PuInGa2
Source: the Alexandria database
Functional: GGA-PBE
Structure: optimized geometry

## Properties
Energy above the lowest structure with this stoichiometry: 0.000 eV/atom
VASP energy: -6.07 eV/atom

Cell: 4.254 4.510 4.510 Å, 90.00 90.00 90.00°
Element x y z (fractional)
In: 0.500 0.000 0.000
Ga: 0.000 0.000 0.500
Ga: 0.000 0.500 0.000
Pu: 0.500 0.500 0.500



Compound: PrMoAs
Source: the Alexandria database
Functional: GGA-PBE
Structure: optimized geometry

## Properties
VASP energy: -7.35 eV/atom

Cell: 4.094 8.192 7.791 Å, 91.75 90.00 90.00°
Element x y z (fractional)
As: 0.250 0.635 0.779
As: 0.750 0.865 0.221
As: 0.750 0.365 0.221
As: 0.250 0.135 0.779
Mo: 0.250 0.896 0.000
Mo: 0.750 0.604 0.000
Mo: 0.750 0.104 0.000
Mo: 0.250 0.396 0.000
Pr: 0.250 0.623 0.344
Pr: 0.750 0.877 0.656
Pr: 0.750 0.377 0.656
Pr: 0.250 0.123 0.344



Compound: TaCd2Os
Source: the Alexandria database
Functional: GGA-PBE
Structure: optimized geometry

## Properties
Energy above the lowest structure with this stoichiometry: 0.597 eV/atom
VASP energy: -5.52 eV/atom

Cell: 4.635 4.635 4.635 Å, 60.00 60.00 60.00°
Element x y z (fractional)
Cd: 0.250 0.250 0.250
Cd: 0.750 0.750 0.750
Os: 0.500 0.500 0.500
Ta: 0.000 0.000 0.000



Compound: Tc2Pd5
Source: the Alexandria database
Functional: GGA-PBE
Structure: optimized geometry

## Properties
VASP energy: -6.64 eV/atom

Cell: 2.754 6.795 6.240 Å, 68.35 77.25 90.08°
Element x y z (fractional)
Tc: 0.720 0.134 0.561
Tc: 0.280 0.866 0.439
Pd: 0.145 0.428 0.710
Pd: 0.855 0.572 0.290
Pd: 0.000 0.000 0.000
Pd: 0.575 0.717 0.851
Pd: 0.425 0.283 0.149



Compound: La9Ir4Pt2
Source: the Alexandria database
Functional: GGA-PBE
Structure: optimized geometry

## Properties
VASP energy: -6.90 eV/atom

Cell: 7.279 7.279 20.169 Å, 90.00 90.00 60.00°
Element x y z (fractional)
La: 0.000 0.339 0.750
La: 0.339 0.661 0.750
La: 0.661 0.000 0.750
La: 0.000 0.661 0.250
La: 0.661 0.339 0.250
La: 0.339 0.000 0.250
La: 0.661 0.994 0.418
La: 0.994 0.345 0.418
La: 0.345 0.661 0.418
La: 0.655 0.006 0.082
La: 0.339 0.655 0.082
La: 0.006 0.339 0.082
La: 0.339 0.006 0.582
La: 0.006 0.655 0.582
La: 0.655 0.339 0.582
La: 0.345 0.994 0.918
La: 0.661 0.345 0.918
La: 0.994 0.661 0.918
Ir: 0.333 0.333 0.998
Ir: 0.333 0.333 0.498
Ir: 0.667 0.667 0.002
Ir: 0.333 0.333 0.169
Ir: 0.667 0.667 0.502
Ir: 0.667 0.667 0.331
Ir: 0.333 0.333 0.669
Ir: 0.667 0.667 0.831
Pt: 0.000 0.000 0.334
Pt: 0.000 0.000 0.166
Pt: 0.000 0.000 0.666
Pt: 0.000 0.000 0.834



Compound: Nb3PtPb
Source: the Alexandria database
Functional: GGA-PBE
Structure: optimized geometry

## Properties
Energy above the lowest structure with this stoichiometry: 0.000 eV/atom
VASP energy: -7.13 eV/atom

Cell: 4.939 4.939 4.939 Å, 90.00 90.00 90.00°
Element x y z (fractional)
Pb: 0.500 0.500 0.500
Nb: 0.000 0.500 0.000
Nb: 0.000 0.000 0.500
Nb: 0.500 0.000 0.000
Pt: 0.000 0.000 0.000



Compound: Sr2ZrBeS5
Source: the Alexandria database
Functional: GGA-PBE
Structure: optimized geometry

## Properties
VASP energy: -5.70 eV/atom

Cell: 3.848 8.735 12.356 Å, 90.00 90.00 102.73°
Element x y z (fractional)
Sr: 0.882 0.764 0.833
Sr: 0.114 0.228 0.686
Sr: 0.118 0.236 0.333
Sr: 0.886 0.772 0.186
Zr: 0.802 0.604 0.526
Zr: 0.198 0.396 0.026
Be: 0.565 0.129 0.925
Be: 0.435 0.871 0.425
S: 0.346 0.692 0.011
S: 0.690 0.379 0.880
S: 0.505 0.009 0.781
S: 0.298 0.597 0.667
S: 0.952 0.905 0.515
S: 0.654 0.308 0.511
S: 0.310 0.621 0.380
S: 0.495 0.991 0.281
S: 0.702 0.403 0.167
S: 0.048 0.095 0.015



Compound: Hf6Pd3N
Source: the Alexandria database
Functional: GGA-PBE
Structure: optimized geometry

## Properties
VASP energy: -9.03 eV/atom

Cell: 5.769 7.298 8.871 Å, 90.00 84.55 90.00°
Element x y z (fractional)
Hf: 0.671 0.145 0.956
Hf: 0.636 0.231 0.571
Hf: 0.668 0.442 0.265
Hf: 0.332 0.558 0.735
Hf: 0.364 0.769 0.429
Hf: 0.329 0.855 0.044
Hf: 0.171 0.355 0.456
Hf: 0.136 0.269 0.071
Hf: 0.168 0.058 0.765
Hf: 0.832 0.942 0.235
Hf: 0.864 0.731 0.929
Hf: 0.829 0.645 0.544
Pd: 0.601 0.900 0.720
Pd: 0.500 0.500 0.000
Pd: 0.399 0.100 0.280
Pd: 0.101 0.600 0.220
Pd: 0.000 0.000 0.500
Pd: 0.899 0.400 0.780
N: 0.500 0.500 0.500
N: 0.000 0.000 0.000